# CdRu2Cl

An optimized crystal structure of CdRu2Cl (PBE, Alexandria).

Unit cell a=2.871 b=4.903 c=4.756 alpha=90.00 beta=90.00 gamma=90.00
Fractional positions:
Cd1 0.500 0.000 0.500
Cl1 0.000 0.500 0.500
Ru1 0.000 0.000 0.000
Ru2 0.500 0.500 0.000

The uncorrected energy comes out at -4.614 eV/atom. The total moment is 1.4 μB per formula unit. Its raw formation energy is 0.714 eV/atom.